{"formula": "CdCu2Te", "functional": "GGA-PBE", "state": "optimized geometry", "lattice": [[5.4094, -0.0071, 0.0000], [2.4136, 4.8411, 0.0000], [-3.9115, -2.4170, 2.8495]], "species": ["Te", "Cd", "Cu", "Cu"], "fractional_positions": [[0.5000, 0.5000, 0.0000], [0.7500, 0.2500, 0.5000], [0.2500, 0.7500, 0.5000], [0.0000, 0.0000, 0.0000]], "spacegroup": "I-4m2, No. 119", "raw_formation_energy_ev_per_atom": 0.244, "e_above_lowest_polymorph_mev_per_atom": 141, "total_magnetization_mub_per_fu": 0.00}